Below is a relaxed BaLiTl2In crystal, with properties calculated at the GGA-PBE level.

Values from the calculation:
ΔH_f (0 K) = -1.4 eV per formula unit
DOS(E_F) = 1.89 states/eV/f.u.

a = 5.9342 Å, b = 7.2199 Å, c = 7.0164 Å
α = 90.00°, β = 90.00°, γ = 90.00°
Closest atoms and distances in Å follow each position.
Space group Pmma (No. 51)
One atom of each set of equivalent atoms:
Ba 0.2500 0.0000 0.2170 [2 per cell]  6 Tl 3.56-3.96, 2 In 3.72
Li 0.0000 0.5000 0.0000 [2 per cell]  2 In 2.85, 2 Li 2.97, 4 Tl 3.03
Tl 0.2500 0.2641 0.7120 [4 per cell]  2 Li 3.03, 1 In 3.07
In 0.2500 0.5000 0.3476 [2 per cell]  2 Li 2.85, 2 Tl 3.07